(1)
Material: LiCuNi
Method: DFT, PBE
State: relaxed

Output
Raw total energy: -23.7 eV/cell
Excess energy over the best structure of this formula in the dataset: 7 kJ/mol of formula units
Energy of formation from the pure elements: -7 kJ/mol of formula units
Symmetry: P-1 (2)

POSCAR file:
```
LiCuNi
1.0
2.485 0.000 0.000
-0.006 4.427 0.000
-1.078 -0.692 6.303
Li Cu Ni
2 2 2
Cartesian
0.051 1.532 1.116
1.351 2.203 5.187
0.098 -0.055 5.226
1.304 3.790 1.078
0.078 2.987 3.090
1.324 0.748 3.213
```



(2)
Material: SnSbTe2Rh
Method: DFT, PBE
State: relaxed

Output
Raw total energy: -20.8 eV/cell
Excess energy over the best structure of this formula in the dataset: 0 kJ/mol of formula units
Symmetry: P4/mmm (123)
ΔE_f (raw): 201 meV per atom

POSCAR file:
```
SnSbTe2Rh
1.0
5.445 0.000 0.000
0.000 5.445 0.000
0.000 0.000 4.931
Sn Sb Te Rh
1 1 2 1
Cartesian
0.000 0.000 0.000
2.723 2.723 0.000
0.000 2.723 2.466
2.723 0.000 2.466
2.723 2.723 2.466
```



(3)
Material: AgH4Pt
Method: DFT, PBE
State: relaxed

Output
Raw total energy: -43.0 eV/cell
Symmetry: Cmcm (63)

POSCAR file:
```
AgH4Pt
1.0
1.859 -5.140 0.000
1.859 5.140 0.000
0.000 0.000 5.974
Ag H Pt
2 8 2
Cartesian
1.859 3.920 4.480
1.859 -3.920 1.493
1.859 4.104 1.493
1.859 2.210 3.388
1.859 2.210 5.572
1.859 0.000 0.000
1.859 0.000 2.987
1.859 -2.210 0.401
1.859 -2.210 2.585
1.859 -4.104 4.480
1.859 1.006 4.480
1.859 -1.006 1.493
```



(4)
Material: RbBaEu2
Method: DFT, PBE
State: relaxed

Output
Raw total energy: -22.8 eV/cell
Energy of formation from the pure elements: 61 kJ/mol of formula units
Symmetry: P4/mmm (123)

POSCAR file:
```
RbBaEu2
1.0
4.163 0.000 0.000
0.000 4.163 0.000
0.000 0.000 13.385
Rb Ba Eu
1 1 2
Cartesian
0.000 0.000 0.000
0.000 0.000 6.692
2.082 2.082 3.613
2.082 2.082 9.772
```



(5)
Material: ZrNi2HPt
Method: DFT, PBE
State: relaxed

Output
Raw total energy: -31.3 eV/cell
Excess energy over the best structure of this formula in the dataset: 42 kJ/mol of formula units
Symmetry: P4/mmm (123)

POSCAR file:
```
ZrNi2HPt
1.0
3.984 0.000 0.000
0.000 3.984 0.000
0.000 0.000 3.845
Zr Ni H Pt
1 2 1 1
Cartesian
0.000 0.000 0.000
0.000 1.992 1.922
1.992 0.000 1.922
1.992 1.992 1.922
1.992 1.992 0.000
```



(6)
Material: MgCuBrN2
Method: DFT, PBE
State: relaxed

Output
Raw total energy: -18.9 eV/cell
Symmetry: P4/mmm (123)
ΔE_f (raw): 1028 meV per atom

POSCAR file:
```
MgCuBrN2
1.0
3.792 0.000 0.000
0.000 3.792 0.000
0.000 0.000 5.641
Mg Cu Br N
1 1 1 2
Cartesian
0.000 0.000 0.000
1.896 1.896 2.820
1.896 1.896 0.000
0.000 1.896 2.820
1.896 0.000 2.820
```



(7)
Material: Cr2Pb
Method: DFT, PBE
State: relaxed

Output
Raw total energy: -40.4 eV/cell
Excess energy over the best structure of this formula in the dataset: 139 kJ/mol of formula units
Energy of formation from the pure elements: 264 kJ/mol of formula units
Symmetry: Pnnm (58)

POSCAR file:
```
Cr2Pb
1.0
3.277 0.000 0.000
0.000 8.277 0.000
0.000 0.000 4.595
Cr Pb
4 2
Cartesian
0.664 1.372 0.000
0.975 5.511 2.297
2.303 2.766 2.297
2.614 6.905 0.000
0.000 4.139 0.000
1.639 0.000 2.297
```



(8)
Material: Sm12Sn6Ge
Method: DFT, PBE
State: relaxed

Output
Raw total energy: -93.5 eV/cell
Energy of formation from the pure elements: -792 kJ/mol of formula units
Symmetry: R-3 (148)

POSCAR file:
```
Sm12Sn6Ge
1.0
6.779 3.914 4.194
-6.779 3.914 4.194
0.000 -7.827 4.194
Sm Sn Ge
12 6 1
Cartesian
-4.339 -4.539 6.939
-6.100 1.488 5.642
-1.605 -1.999 4.940
1.761 -6.027 5.642
-0.928 2.389 4.940
-2.533 0.391 7.641
2.533 -0.391 4.940
0.928 -2.389 7.641
-1.761 6.027 6.939
1.605 1.999 7.641
6.100 -1.488 6.939
4.339 4.539 5.642
-3.370 0.555 4.413
1.204 -3.196 4.413
-2.165 -2.641 8.168
2.165 2.641 4.413
-1.204 3.196 8.168
3.370 -0.555 8.168
0.000 0.000 0.000
```